{
  "formula": "LaSmHo4Tm2",
  "functional": "PBE",
  "state": "relaxed",
  "formation_energy_ev_per_atom": 0.02,
  "energy_ev_per_atom": -4.59,
  "m_tot_mub_per_cell": 0.00,
  "volume_a3_per_atom": 31.761,
  "lattice_angstrom": [[6.151, -3.557, 0.000], [6.151, 3.557, 0.000], [-4.099, 0.000, 11.614]],
  "species": ["La", "La", "Sm", "Sm", "Ho", "Ho", "Ho", "Ho", "Ho", "Ho", "Ho", "Ho", "Tm", "Tm", "Tm", "Tm"],
  "frac_coords": [[0.000, 0.500, 0.000], [0.500, 0.000, 0.000], [0.000, 0.000, 0.000], [0.000, 0.000, 0.500], [0.249, 0.249, 0.746], [0.249, 0.748, 0.747], [0.252, 0.252, 0.255], [0.252, 0.751, 0.253], [0.748, 0.249, 0.747], [0.748, 0.748, 0.745], [0.751, 0.252, 0.253], [0.751, 0.751, 0.254], [0.000, 0.500, 0.500], [0.500, 0.000, 0.500], [0.500, 0.500, 0.000], [0.500, 0.500, 0.500]]
}